Record 1
First-principles (PBE) data for an optimized crystal structure of TlCoMo4, as listed in Alexandria via LeMat-Bulk.

POSCAR file:
```
TlCoMo4
1.0
2.7236 -3.9914 2.0611
-2.1989 -4.7548 0.3925
1.6526 -3.9206 -3.0814
Mo Co Tl
4 1 1
direct
0.3746 0.3746 0.8761 Mo
0.8761 0.3746 0.3746 Mo
0.3746 0.3746 0.3746 Mo
0.3746 0.8761 0.3746 Mo
0.0000 0.0000 0.0000 Co
0.7500 0.7500 0.7500 Tl
```

Space-group type ... F-43m
Crystal system ... cubic
Energy relative to the elements ... 698 meV per atom

Record 2
First-principles (PBE) data for an optimized crystal structure of TlCo2Mo, as listed in Alexandria via LeMat-Bulk.

POSCAR file:
```
TlCo2Mo
1.0
2.8362 0.0027 0.0000
-0.0029 2.8362 0.0000
0.0000 0.0000 7.3123
Tl Co Mo
1 2 1
direct
0.5000 0.5000 0.7500 Tl
0.0000 0.0000 0.0248 Co
0.0000 0.0000 0.4752 Co
0.5000 0.5000 0.2500 Mo
```

Energy relative to the lowest polymorph listed for this composition ... 11 meV per atom
Space-group type ... P4/mmm
Crystal system ... tetragonal
Energy relative to the elements ... 379 meV per atom

Record 3
First-principles (PBE) data for an optimized crystal structure of TlCoMo, as listed in Alexandria via LeMat-Bulk.

POSCAR file:
```
TlCoMo
1.0
4.3601 0.0000 0.0000
-2.1801 3.7760 0.0000
0.0000 0.0000 3.0036
Mo Tl Co
1 1 1
direct
0.3333 0.6667 0.2379 Mo
0.6667 0.3333 0.7204 Tl
0.0000 0.0000 0.0417 Co
```

Space-group type ... P3m1
Crystal system ... trigonal
Energy relative to the elements ... 724 meV per atom

Look up the energy relative to the elements of the third one. 724 meV per atom

What is the energy relative to the elements in the third record? 724 meV per atom

energy relative to the elements of number 1 (TlCoMo4)? 698 meV per atom